4
Lattice="1.777 1.026 10.653 -1.777 1.026 10.653 0.000 -2.051 10.653" Properties=species:S:1:pos:R:3 comment="DyPb2Au, relaxed, DFT PBE" formation_energy_kj_per_mol_atoms=5.9 total_magnetization_mub_per_fu=0.00 polymorph_energy_mev_per_atom=443 spacegroup="R-3m (166)" pbc="T T T"
Dy 0.000 0.000 0.000
Pb 0.000 0.000 3.152
Pb 0.000 0.000 28.807
Au 0.000 0.000 15.979